# 1
This record from the Alexandria database describes PmPrNiPd after structural relaxation. The functional is PBE-GGA.

Results
**Space group**: Amm2 (38)
**Final energy**: -22.70 eV per cell
**Energy relative to the elements**: -0.548 eV/atom
**Distance to the lowest polymorph of the same formula**: 0.0000 eV per atom

Unit cell a=3.9106 b=4.5004 c=5.6837 alpha=90.00 beta=110.12 gamma=90.00
Last column: nearest neighbours and their distance in Å.
Element x y z (fractional)
1 Ni 0.4192 0.0000 0.8384  2 Pd 2.81, 3 Pr 2.98-3.06, 4 Pm 3.04
2 Pd 0.5770 0.5000 0.1541  2 Ni 2.81, 3 Pm 3.00-3.06, 4 Pr 3.06
3 Pr 0.1402 0.0000 0.2803  3 Ni 2.98-3.06, 4 Pd 3.06
4 Pm 0.8636 0.5000 0.7272  3 Pd 3.00-3.06, 4 Ni 3.04

# 2
This record from the Alexandria database describes PmPrNiPd after structural relaxation. The functional is PBE-GGA.

Results
**Space group**: F-43m (216)
**Final energy**: -22.35 eV per cell
**Energy relative to the elements**: -0.462 eV/atom
**Distance to the lowest polymorph of the same formula**: 0.0860 eV per atom

Unit cell a=5.0524 b=5.0524 c=5.0524 alpha=60.00 beta=60.00 gamma=60.00
Last column: nearest neighbours and their distance in Å.
Element x y z (fractional)
1 Pd 0.7500 0.7500 0.7500  4 Pr 3.09, 4 Pm 3.09
2 Pr 0.5000 0.5000 0.5000  4 Ni 3.09, 4 Pd 3.09
3 Pm 0.0000 0.0000 0.0000  4 Pd 3.09, 4 Ni 3.09
4 Ni 0.2500 0.2500 0.2500  4 Pm 3.09, 4 Pr 3.09

# 3
This record from the Alexandria database describes PmPuNiPd after structural relaxation. The functional is PBE-GGA.

Results
**Space group**: F-43m (216)
**Final energy**: -31.31 eV per cell
**Energy relative to the elements**: -0.313 eV/atom

Unit cell a=4.9550 b=4.9550 c=4.9550 alpha=60.00 beta=60.00 gamma=60.00
Last column: nearest neighbours and their distance in Å.
Element x y z (fractional)
1 Pd 0.5000 0.5000 0.5000  4 Pu 3.03, 4 Pm 3.03
2 Pm 0.2500 0.2500 0.2500  4 Ni 3.03, 4 Pd 3.03
3 Pu 0.7500 0.7500 0.7500  4 Pd 3.03, 4 Ni 3.03
4 Ni 0.0000 0.0000 0.0000  4 Pm 3.03, 4 Pu 3.03

# 4
This record from the Alexandria database describes Pm2Ni3Sb4Pd after structural relaxation. The functional is PBE-GGA.

Results
**Space group**: P-4m2 (115)
**Final energy**: -55.29 eV per cell
**E_form (uncorrected)**: -676 meV per atom

Unit cell a=4.5265 b=4.5265 c=10.0695 alpha=90.00 beta=90.00 gamma=90.00
Last column: nearest neighbours and their distance in Å.
Element x y z (fractional)
1 Ni 0.0000 0.5000 0.1187  5 Sb 2.49-2.56
2 Ni 0.0000 0.0000 0.5000  4 Sb 2.64
3 Ni 0.5000 0.0000 0.8813  5 Sb 2.49-2.56
4 Pm 0.5000 0.0000 0.2552  6 Ni 3.35-3.48, 2 Pd 3.35, 8 Sb 3.39-3.42
5 Pm 0.0000 0.5000 0.7448  2 Pd 3.35, 6 Ni 3.35-3.48, 8 Sb 3.39-3.42
6 Pd 0.5000 0.5000 0.5000  4 Sb 2.64
7 Sb 0.0000 0.0000 0.0000  4 Ni 2.56
8 Sb 0.5000 0.5000 0.0000  4 Ni 2.56
9 Sb 0.5000 0.0000 0.6345  3 Ni 2.49-2.64, 2 Pd 2.64
10 Sb 0.0000 0.5000 0.3655  3 Ni 2.49-2.64, 2 Pd 2.64

# 5
This record from the Alexandria database describes Pm2NiSb4Pd3 after structural relaxation. The functional is PBE-GGA.

Results
**Space group**: P-4m2 (115)
**Final energy**: -54.66 eV per cell
**E_form (uncorrected)**: -731 meV per atom

Unit cell a=4.5106 b=4.5106 c=10.9405 alpha=90.00 beta=90.00 gamma=90.00
Last column: nearest neighbours and their distance in Å.
Element x y z (fractional)
1 Sb 0.5000 0.5000 0.0000  4 Pd 2.72
2 Sb 0.0000 0.0000 0.0000  4 Pd 2.72
3 Sb 0.0000 0.5000 0.3765  3 Pd 2.59-2.63, 2 Ni 2.63
4 Sb 0.5000 0.0000 0.6235  3 Pd 2.59-2.63, 2 Ni 2.63
5 Pd 0.0000 0.5000 0.1394  5 Sb 2.59-2.72
6 Pd 0.5000 0.0000 0.8606  5 Sb 2.59-2.72
7 Pd 0.0000 0.0000 0.5000  4 Sb 2.63
8 Pm 0.5000 0.0000 0.2730  2 Ni 3.35, 6 Pd 3.35-3.51, 8 Sb 3.38-3.74
9 Pm 0.0000 0.5000 0.7270  2 Ni 3.35, 6 Pd 3.35-3.51, 8 Sb 3.38-3.74
10 Ni 0.5000 0.5000 0.5000  4 Sb 2.63

# 6
This record from the Alexandria database describes PmScNiPd after structural relaxation. The functional is PBE-GGA.

Results
**Space group**: F-43m (216)
**Final energy**: -24.17 eV per cell
**Energy relative to the elements**: -0.528 eV/atom

Unit cell a=4.8259 b=4.8259 c=4.8259 alpha=60.00 beta=60.00 gamma=60.00
Last column: nearest neighbours and their distance in Å.
Element x y z (fractional)
1 Sc 0.5000 0.5000 0.5000  4 Ni 2.96, 4 Pd 2.96
2 Pm 0.0000 0.0000 0.0000  4 Pd 2.96, 4 Ni 2.96
3 Ni 0.2500 0.2500 0.2500  4 Pm 2.96, 4 Sc 2.96
4 Pd 0.7500 0.7500 0.7500  4 Sc 2.96, 4 Pm 2.96

# 7
This record from the Alexandria database describes PmSi2NiPd after structural relaxation. The functional is PBE-GGA.

Results
**Space group**: I-4m2 (119)
**Final energy**: -30.88 eV per cell
**E_form (uncorrected)**: -861 meV per atom

Unit cell a=4.1332 b=4.1332 c=5.7144 alpha=111.20 beta=111.20 gamma=90.00
Last column: nearest neighbours and their distance in Å.
Element x y z (fractional)
1 Si 0.3770 0.3770 0.7541  2 Ni 2.41, 2 Pd 2.41, 1 Si 2.42
2 Si 0.6230 0.6230 0.2459  2 Pd 2.41, 2 Ni 2.41, 1 Si 2.42
3 Ni 0.2500 0.7500 0.5000  4 Si 2.41
4 Pm 0.0000 0.0000 0.0000  8 Si 3.16, 4 Pd 3.21, 4 Ni 3.21
5 Pd 0.7500 0.2500 0.5000  4 Si 2.41

# 8
This record from the Alexandria database describes PmSmNiPd after structural relaxation. The functional is PBE-GGA.

Results
**Space group**: Amm2 (38)
**Final energy**: -22.78 eV per cell
**Energy relative to the elements**: -0.583 eV/atom

Unit cell a=3.8679 b=4.4578 c=5.6373 alpha=90.00 beta=110.06 gamma=90.00
Last column: nearest neighbours and their distance in Å.
Element x y z (fractional)
1 Pd 0.4219 0.0000 0.8438  2 Ni 2.79, 3 Sm 2.99-3.02, 4 Pm 3.02
2 Ni 0.5806 0.5000 0.1612  2 Pd 2.79, 3 Pm 2.96-3.03, 4 Sm 3.01
3 Pm 0.8603 0.5000 0.7207  3 Ni 2.96-3.03, 4 Pd 3.02
4 Sm 0.1371 0.0000 0.2743  3 Pd 2.99-3.02, 4 Ni 3.01

# 9
This record from the Alexandria database describes Pm2Ni3Sn4Pd after structural relaxation. The functional is PBE-GGA.

Results
**Space group**: P-4m2 (115)
**Final energy**: -53.93 eV per cell
**Energy relative to the elements**: -0.588 eV/atom

Unit cell a=4.4797 b=4.4797 c=10.2739 alpha=90.00 beta=90.00 gamma=90.00
Last column: nearest neighbours and their distance in Å.
Element x y z (fractional)
1 Sn 0.5000 0.5000 0.0000  4 Ni 2.57
2 Sn 0.0000 0.5000 0.3659  3 Ni 2.49-2.63, 2 Pd 2.63
3 Sn 0.0000 0.0000 0.0000  4 Ni 2.57
4 Sn 0.5000 0.0000 0.6341  3 Ni 2.49-2.63, 2 Pd 2.63
5 Ni 0.5000 0.0000 0.8764  5 Sn 2.49-2.57
6 Ni 0.0000 0.5000 0.1236  5 Sn 2.49-2.57
7 Ni 0.0000 0.0000 0.5000  4 Sn 2.63
8 Pm 0.5000 0.0000 0.2564  6 Ni 3.36-3.45, 2 Pd 3.36, 8 Sn 3.36-3.46
9 Pm 0.0000 0.5000 0.7436  6 Ni 3.36-3.45, 2 Pd 3.36, 8 Sn 3.36-3.46
10 Pd 0.5000 0.5000 0.5000  4 Sn 2.63

# 10
This record from the Alexandria database describes SrPmNiPd after structural relaxation. The functional is PBE-GGA.

Results
**Space group**: F-43m (216)
**Final energy**: -18.68 eV per cell
**Energy relative to the elements**: -0.319 eV/atom

Unit cell a=5.0898 b=5.0898 c=5.0898 alpha=60.00 beta=60.00 gamma=60.00
Last column: nearest neighbours and their distance in Å.
Element x y z (fractional)
1 Ni 0.2500 0.2500 0.2500  4 Pm 3.12, 4 Sr 3.12
2 Pd 0.7500 0.7500 0.7500  4 Pm 3.12, 4 Sr 3.12
3 Sr 0.5000 0.5000 0.5000  4 Pd 3.12, 4 Ni 3.12
4 Pm 0.0000 0.0000 0.0000  4 Pd 3.12, 4 Ni 3.12